Record 1
The following is a PBE calculation of a relaxed structure of Sc2BeIr, from Alexandria.

* formation energy from the elements: -450 meV/atom

Cell: 5.2302 5.2302 4.6403 Å, 72.70 72.70 33.71°
Element x y z (fractional)
1 Be 0.5376 0.5376 0.5044
2 Ir 0.2128 0.2128 0.2485
3 Sc 0.9794 0.9794 0.0448
4 Sc 0.7703 0.7703 0.7023

***

Record 2
The following is a PBE calculation of a relaxed structure of Sc2BeIr, from Alexandria.

* formation energy from the elements: 17 meV/atom

Cell: 7.2926 7.2926 5.8071 Å, 51.10 51.10 90.00°
Element x y z (fractional)
1 Sc 0.8750 0.8925 0.7500
2 Be 0.2500 0.7500 0.5000
3 Be 0.5000 0.5000 0.0000
4 Sc 0.6425 0.1250 0.2500
5 Sc 0.3750 0.3575 0.7500
6 Sc 0.1075 0.6250 0.2500
7 Ir 0.7500 0.2500 0.5000
8 Ir 0.0000 0.0000 0.0000

***

Record 3
The following is a PBE calculation of a relaxed structure of ScBe2Ir, from Alexandria.

* formation energy from the elements: -196 meV/atom

Cell: 4.2136 4.2136 2.9626 Å, 89.96 89.96 102.79°
Element x y z (fractional)
1 Be 0.0000 0.0000 0.0000
2 Be 0.5000 0.5000 0.0000
3 Ir 0.5000 0.0000 0.5000
4 Sc 0.0000 0.5000 0.5000

***

Record 4
The following is a PBE calculation of a relaxed structure of Sc2BeIr, from Alexandria.

* formation energy from the elements: -468 meV/atom

Cell: 5.6541 5.6541 5.6541 Å, 42.07 42.07 42.07°
Element x y z (fractional)
1 Sc 0.9692 0.9692 0.9692
2 Be 0.5420 0.5420 0.5420
3 Sc 0.7788 0.7788 0.7788
4 Ir 0.2101 0.2101 0.2101

***

Record 5
The following is a PBE calculation of a relaxed structure of ScBe2Ir, from Alexandria.

* formation energy from the elements: -495 meV/atom

Cell: 4.1224 4.1224 4.6652 Å, 70.74 70.74 48.83°
Element x y z (fractional)
1 Be 0.5279 0.5279 0.3720
2 Ir 0.2500 0.2500 0.2500
3 Sc 0.7500 0.7500 0.7500
4 Be 0.9721 0.9721 0.1280

***

Record 6
The following is a PBE calculation of a relaxed structure of Sc3BeIr, from Alexandria.

* formation energy from the elements: 285 meV/atom

Cell: 4.6246 4.6246 4.6246 Å, 90.00 90.00 90.00°
Element x y z (fractional)
1 Sc 0.0000 0.0000 0.5000
2 Sc 0.0000 0.5000 0.0000
3 Sc 0.5000 0.0000 0.0000
4 Ir 0.5000 0.5000 0.5000
5 Be 0.0000 0.0000 0.0000

***

Record 7
The following is a PBE calculation of a relaxed structure of ScBe2Ir, from Alexandria.

* formation energy from the elements: -303 meV/atom

Cell: 4.7978 4.7978 4.7978 Å, 143.24 127.63 65.69°
Element x y z (fractional)
1 Be 0.7655 0.2655 0.5000
2 Be 0.9656 0.9656 0.0000
3 Sc 0.2447 0.7447 0.5000
4 Ir 0.5241 0.5241 0.0000

***

Record 8
The following is a PBE calculation of a relaxed structure of Sc2BeSi3Ir4, from Alexandria.

* formation energy (no corrections): -8.905 eV/f.u.

Cell: 4.0351 4.0351 9.6329 Å, 90.00 90.00 90.00°
Element x y z (fractional)
1 Ir 0.0000 0.0000 0.0000
2 Si 0.0000 0.5000 0.1352
3 Si 0.5000 0.0000 0.8648
4 Sc 0.0000 0.5000 0.7438
5 Ir 0.5000 0.5000 0.0000
6 Sc 0.5000 0.0000 0.2562
7 Ir 0.0000 0.5000 0.3746
8 Be 0.5000 0.5000 0.5000
9 Ir 0.5000 0.0000 0.6254
10 Si 0.0000 0.0000 0.5000

***

Record 9
The following is a PBE calculation of a relaxed structure of Sc2BeSi2Ir5, from Alexandria.

* formation energy (no corrections): -8.073 eV/f.u.

Cell: 3.3388 9.4306 9.4306 Å, 90.00 90.00 90.00°
Element x y z (fractional)
1 Sc 0.0000 0.1718 0.3282
2 Sc 0.0000 0.8282 0.6718
3 Sc 0.0000 0.3282 0.8282
4 Ir 0.5000 0.0000 0.5000
5 Si 0.0000 0.8696 0.3696
6 Ir 0.5000 0.2003 0.0669
7 Be 0.0000 0.5000 0.5000
8 Si 0.0000 0.6304 0.8696
9 Ir 0.5000 0.4331 0.2997
10 Ir 0.5000 0.5000 0.0000
11 Ir 0.5000 0.0669 0.7997
12 Ir 0.5000 0.7003 0.4331
13 Ir 0.5000 0.5669 0.7003
14 Si 0.0000 0.3696 0.1304
15 Si 0.0000 0.1304 0.6304
16 Ir 0.5000 0.9331 0.2003
17 Ir 0.5000 0.7997 0.9331
18 Sc 0.0000 0.6718 0.1718
19 Ir 0.5000 0.2997 0.5669
20 Be 0.0000 0.0000 0.0000

***

Record 10
The following is a PBE calculation of a relaxed structure of ScBe2SiIr, from Alexandria.

* formation energy (no corrections): -2.832 eV/f.u.

Cell: 3.5124 3.7611 5.7289 Å, 109.16 107.85 90.00°
Element x y z (fractional)
1 Ir 0.1821 0.6821 0.3642
2 Be 0.0553 0.0553 0.1107
3 Be 0.6954 0.1954 0.3907
4 Si 0.8362 0.8362 0.6724
5 Sc 0.4432 0.4432 0.8863

***

Record 11
The following is a PBE calculation of a relaxed structure of ScBeSn2Ir, from Alexandria.

* formation energy from the elements: 398 meV/atom

Cell: 4.5992 4.6045 4.5992 Å, 90.00 90.00 90.00°
Element x y z (fractional)
1 Ir 0.5000 0.5000 0.5000
2 Sn 0.5000 0.0000 0.0000
3 Be 0.0000 0.0000 0.0000
4 Sn 0.0000 0.0000 0.5000
5 Sc 0.0000 0.5000 0.0000

***

Record 12
The following is a PBE calculation of a relaxed structure of Sc2Be2SnIr5, from Alexandria.

* formation energy from the elements: -748 meV/atom

Cell: 3.1709 9.6452 9.6452 Å, 90.00 90.00 90.00°
Element x y z (fractional)
1 Ir 0.5000 0.5000 0.0000
2 Ir 0.5000 0.9299 0.2169
3 Sn 0.0000 0.0000 0.0000
4 Ir 0.5000 0.7169 0.4299
5 Be 0.0000 0.3794 0.1206
6 Sc 0.0000 0.6752 0.1752
7 Be 0.0000 0.1206 0.6206
8 Sc 0.0000 0.3248 0.8248
9 Ir 0.5000 0.2169 0.0701
10 Ir 0.5000 0.0701 0.7831
11 Be 0.0000 0.6206 0.8794
12 Ir 0.5000 0.5701 0.7169
13 Sc 0.0000 0.8248 0.6752
14 Sc 0.0000 0.1752 0.3248
15 Sn 0.0000 0.5000 0.5000
16 Ir 0.5000 0.7831 0.9299
17 Be 0.0000 0.8794 0.3794
18 Ir 0.5000 0.0000 0.5000
19 Ir 0.5000 0.2831 0.5701
20 Ir 0.5000 0.4299 0.2831

***

Record 13
The following is a PBE calculation of a relaxed structure of TbScBeIr, from Alexandria.

* formation energy from the elements: -428 meV/atom

Cell: 4.7167 4.7167 4.7167 Å, 60.00 60.00 60.00°
Element x y z (fractional)
1 Tb 0.7500 0.7500 0.7500
2 Be 0.0000 0.0000 0.0000
3 Sc 0.2500 0.2500 0.2500
4 Ir 0.5000 0.5000 0.5000

***

Record 14
The following is a PBE calculation of a relaxed structure of ScBeTeIr2, from Alexandria.

* formation energy (no corrections): -0.244 eV/f.u.

Cell: 4.2222 4.7480 4.2222 Å, 90.00 90.00 90.00°
Element x y z (fractional)
1 Be 0.0000 0.0000 0.0000
2 Sc 0.0000 0.5000 0.0000
3 Ir 0.0000 0.0000 0.5000
4 Te 0.5000 0.5000 0.5000
5 Ir 0.5000 0.0000 0.0000

***

Record 15
The following is a PBE calculation of a relaxed structure of Th2ScBe3Ir4, from Alexandria.

* formation energy from the elements: -740 meV/atom

Cell: 4.0796 4.0796 10.3285 Å, 90.00 90.00 90.00°
Element x y z (fractional)
1 Ir 0.5000 0.0000 0.6605
2 Ir 0.0000 0.0000 0.0000
3 Be 0.0000 0.5000 0.1046
4 Be 0.0000 0.0000 0.5000
5 Ir 0.0000 0.5000 0.3395
6 Th 0.0000 0.5000 0.7768
7 Ir 0.5000 0.5000 0.0000
8 Sc 0.5000 0.5000 0.5000
9 Th 0.5000 0.0000 0.2232
10 Be 0.5000 0.0000 0.8954

***

Record 16
The following is a PBE calculation of a relaxed structure of TmScBeIr, from Alexandria.

* formation energy from the elements: -498 meV/atom

Cell: 4.6641 4.6641 4.6641 Å, 60.00 60.00 60.00°
Element x y z (fractional)
1 Sc 0.7500 0.7500 0.7500
2 Ir 0.5000 0.5000 0.5000
3 Tm 0.2500 0.2500 0.2500
4 Be 0.0000 0.0000 0.0000

***

Record 17
The following is a PBE calculation of a relaxed structure of Sc2Be2VIr5, from Alexandria.

* formation energy from the elements: -813 meV/atom

Cell: 3.0965 9.4934 9.4934 Å, 90.00 90.00 90.00°
Element x y z (fractional)
1 Be 0.0000 0.1231 0.6231
2 Sc 0.0000 0.6744 0.1744
3 Ir 0.5000 0.0000 0.5000
4 Ir 0.5000 0.7924 0.9308
5 Ir 0.5000 0.7076 0.4308
6 Ir 0.5000 0.9308 0.2076
7 Be 0.0000 0.8769 0.3769
8 Ir 0.5000 0.2924 0.5692
9 V 0.0000 0.0000 0.0000
10 V 0.0000 0.5000 0.5000
11 Sc 0.0000 0.1744 0.3256
12 Be 0.0000 0.3769 0.1231
13 Ir 0.5000 0.4308 0.2924
14 Ir 0.5000 0.5000 0.0000
15 Ir 0.5000 0.2076 0.0692
16 Be 0.0000 0.6231 0.8769
17 Sc 0.0000 0.8256 0.6744
18 Ir 0.5000 0.5692 0.7076
19 Sc 0.0000 0.3256 0.8256
20 Ir 0.5000 0.0692 0.7924

***

Record 18
The following is a PBE calculation of a relaxed structure of ScBeZnIr, from Alexandria.

* formation energy from the elements: -424 meV/atom

Cell: 4.3073 4.3073 4.3073 Å, 60.00 60.00 60.00°
Element x y z (fractional)
1 Zn 0.7500 0.7500 0.7500
2 Sc 0.5000 0.5000 0.5000
3 Be 0.2500 0.2500 0.2500
4 Ir 0.0000 0.0000 0.0000

***

Record 19
The following is a PBE calculation of a relaxed structure of Sc2Be2ZnIr5, from Alexandria.

* formation energy from the elements: -707 meV/atom

Cell: 3.1281 9.4743 9.4743 Å, 90.00 90.00 90.00°
Element x y z (fractional)
1 Be 0.0000 0.8746 0.3746
2 Ir 0.5000 0.2110 0.0686
3 Ir 0.5000 0.5686 0.7110
4 Ir 0.5000 0.2890 0.5686
5 Zn 0.0000 0.0000 0.0000
6 Sc 0.0000 0.8237 0.6763
7 Sc 0.0000 0.6763 0.1763
8 Be 0.0000 0.1254 0.6254
9 Ir 0.5000 0.4314 0.2890
10 Ir 0.5000 0.5000 0.0000
11 Ir 0.5000 0.0686 0.7890
12 Ir 0.5000 0.7110 0.4314
13 Ir 0.5000 0.7890 0.9314
14 Sc 0.0000 0.3237 0.8237
15 Zn 0.0000 0.5000 0.5000
16 Ir 0.5000 0.9314 0.2110
17 Be 0.0000 0.3746 0.1254
18 Ir 0.5000 0.0000 0.5000
19 Be 0.0000 0.6254 0.8746
20 Sc 0.0000 0.1763 0.3237

***

Record 20
The following is a PBE calculation of a relaxed structure of ZrSc2Be2Ir5, from Alexandria.

* formation energy from the elements: -861 meV/atom

Cell: 3.2134 9.6566 9.6566 Å, 90.00 90.00 90.00°
Element x y z (fractional)
1 Ir 0.5000 0.7175 0.4290
2 Ir 0.5000 0.0000 0.5000
3 Be 0.0000 0.8805 0.3805
4 Be 0.0000 0.3805 0.1195
5 Sc 0.0000 0.1750 0.3250
6 Sc 0.0000 0.3250 0.8250
7 Ir 0.5000 0.4290 0.2825
8 Ir 0.5000 0.5000 0.0000
9 Ir 0.5000 0.9290 0.2175
10 Ir 0.5000 0.2175 0.0710
11 Sc 0.0000 0.8250 0.6750
12 Ir 0.5000 0.0710 0.7825
13 Zr 0.0000 0.5000 0.5000
14 Ir 0.5000 0.2825 0.5710
15 Sc 0.0000 0.6750 0.1750
16 Zr 0.0000 0.0000 0.0000
17 Be 0.0000 0.1195 0.6195
18 Ir 0.5000 0.7825 0.9290
19 Be 0.0000 0.6195 0.8805
20 Ir 0.5000 0.5710 0.7175